Arrangement P

This record from Alexandria describes crystalline GdSc2Au at its relaxed geometry. The functional is PBE.

- Crystal system: trigonal
- Calculated density: 7.1 Mg/m³
- M_tot: 1.94 μB per atom
- Space group: No. 166

Cell: 10.617 10.617 10.617 Å, 18.40 18.40 18.40°
Element x y z (fractional)
Gd (0.000, 0.000, 0.000)
Sc (0.102, 0.102, 0.102)
Sc (0.898, 0.898, 0.898)
Au (0.500, 0.500, 0.500)

=====

Arrangement Q

This record from Alexandria describes crystalline GdSc2Au at its relaxed geometry. The functional is PBE.

- Crystal system: tetragonal
- Calculated density: 7.7 Mg/m³
- M_tot: 1.97 μB per atom
- Space group: No. 123

Cell: 3.459 3.459 8.029 Å, 90.00 90.00 90.00°
Element x y z (fractional)
Gd (0.000, 0.000, 0.000)
Sc (0.500, 0.500, 0.299)
Sc (0.500, 0.500, 0.701)
Au (0.000, 0.000, 0.500)

=====

Least stable = arrangement P

=====

Arrangement P

This record from Alexandria describes crystalline Sm2GdAu at its relaxed geometry. The functional is PBE.

- Crystal system: trigonal
- Calculated density: 8.9 Mg/m³
- M_tot: 1.83 μB per atom
- Space group: No. 166

Cell: 10.463 10.463 10.463 Å, 20.41 20.41 20.41°
Element x y z (fractional)
Sm (0.238, 0.238, 0.238)
Sm (0.762, 0.762, 0.762)
Gd (0.000, 0.000, 0.000)
Au (0.500, 0.500, 0.500)

=====

Arrangement Q

This record from Alexandria describes crystalline Sm2GdAu at its relaxed geometry. The functional is PBE.

- Crystal system: tetragonal
- Calculated density: 9.9 Mg/m³
- M_tot: 1.81 μB per atom
- Space group: No. 123

Cell: 5.429 5.429 3.744 Å, 90.00 90.00 90.00°
Element x y z (fractional)
Sm (0.000, 0.500, 0.000)
Sm (0.500, 0.000, 0.000)
Gd (0.000, 0.000, 0.500)
Au (0.500, 0.500, 0.500)

=====

Arrangement R

This record from Alexandria describes crystalline Sm2GdAu at its relaxed geometry. The functional is PBE.

- Crystal system: tetragonal
- Calculated density: 9.3 Mg/m³
- M_tot: 2.01 μB per atom
- Space group: No. 123

Cell: 3.674 3.674 8.657 Å, 90.00 90.00 90.00°
Element x y z (fractional)
Sm (0.000, 0.000, 0.208)
Sm (0.000, 0.000, 0.792)
Gd (0.500, 0.500, 0.500)
Au (0.500, 0.500, 0.000)

=====

Least stable = arrangement Q

=====

Arrangement P

This record from Alexandria describes crystalline SmGdAu at its relaxed geometry. The functional is PBE.

- Crystal system: trigonal
- Calculated density: 10.2 Mg/m³
- M_tot: 2.36 μB per atom
- Space group: No. 156

Cell: 4.953 4.953 3.855 Å, 90.00 90.00 120.00°
Element x y z (fractional)
Sm (0.000, 0.000, 0.000)
Gd (0.333, 0.667, 0.452)
Au (0.667, 0.333, 0.717)

=====

Arrangement Q

This record from Alexandria describes crystalline SmGdAu at its relaxed geometry. The functional is PBE.

- Crystal system: cubic
- Calculated density: 9.2 Mg/m³
- M_tot: 2.54 μB per atom
- Space group: No. 216

Cell: 5.047 5.047 5.047 Å, 60.00 60.00 60.00°
Element x y z (fractional)
Sm (0.000, 0.000, 0.000)
Gd (0.500, 0.500, 0.500)
Au (0.250, 0.250, 0.250)

=====

Arrangement R

This record from Alexandria describes crystalline SmGdAu at its relaxed geometry. The functional is PBE.

- Crystal system: tetragonal
- Calculated density: 8.7 Mg/m³
- M_tot: 2.58 μB per atom
- Space group: No. 107

Cell: 8.633 8.633 8.633 Å, 157.26 157.26 32.37°
Element x y z (fractional)
Sm (0.000, 0.000, 0.000)
Gd (0.656, 0.656, 0.000)
Au (0.827, 0.827, 0.000)

=====

Least stable = arrangement R

=====

Arrangement P

This record from Alexandria describes crystalline Gd2SnAu at its relaxed geometry. The functional is PBE.

- Crystal system: tetragonal
- Calculated density: 10.3 Mg/m³
- M_tot: 3.62 μB per atom
- Space group: No. 123

Cell: 3.633 3.633 7.735 Å, 90.00 90.00 90.00°
Element x y z (fractional)
Gd (0.000, 0.000, 0.236)
Gd (0.000, 0.000, 0.764)
Sn (0.500, 0.500, 0.500)
Au (0.500, 0.500, 0.000)

=====

Arrangement Q

This record from Alexandria describes crystalline Gd2SnAu at its relaxed geometry. The functional is PBE.

- Crystal system: cubic
- Calculated density: 10.2 Mg/m³
- M_tot: 3.73 μB per atom
- Space group: No. 225

Cell: 5.258 5.258 5.258 Å, 60.00 60.00 60.00°
Element x y z (fractional)
Gd (0.250, 0.250, 0.250)
Gd (0.750, 0.750, 0.750)
Sn (0.000, 0.000, 0.000)
Au (0.500, 0.500, 0.500)

=====

Least stable = arrangement P

=====

Arrangement P

This record from Alexandria describes crystalline SrGdAu at its relaxed geometry. The functional is PBE.

- Crystal system: trigonal
- Calculated density: 6.6 Mg/m³
- M_tot: 2.40 μB per atom
- Space group: No. 156

Cell: 4.341 4.341 6.845 Å, 90.00 90.00 120.00°
Element x y z (fractional)
Sr (0.000, 0.000, 0.000)
Gd (0.667, 0.333, 0.498)
Au (0.333, 0.667, 0.285)

=====

Arrangement Q

This record from Alexandria describes crystalline SrGdAu at its relaxed geometry. The functional is PBE.

- Crystal system: tetragonal
- Calculated density: 7.7 Mg/m³
- M_tot: 2.42 μB per atom
- Space group: No. 107

Cell: 7.227 7.227 7.227 Å, 149.69 149.69 43.39°
Element x y z (fractional)
Sr (0.000, 0.000, 0.000)
Gd (0.266, 0.266, 0.000)
Au (0.661, 0.661, 0.000)

=====

Least stable = arrangement P

=====

Arrangement P

This record from Alexandria describes crystalline Gd2TcAu at its relaxed geometry. The functional is PBE.

- Crystal system: tetragonal
- Calculated density: 11.4 Mg/m³
- M_tot: 3.46 μB per atom
- Space group: No. 123

Cell: 3.494 3.494 7.302 Å, 90.00 90.00 90.00°
Element x y z (fractional)
Gd (0.000, 0.000, 0.230)
Gd (0.000, 0.000, 0.770)
Tc (0.500, 0.500, 0.000)
Au (0.500, 0.500, 0.500)

=====

Arrangement Q

This record from Alexandria describes crystalline Gd2TcAu at its relaxed geometry. The functional is PBE.

- Crystal system: cubic
- Calculated density: 11.5 Mg/m³
- M_tot: 3.51 μB per atom
- Space group: No. 225

Cell: 4.999 4.999 4.999 Å, 60.00 60.00 60.00°
Element x y z (fractional)
Gd (0.250, 0.250, 0.250)
Gd (0.750, 0.750, 0.750)
Tc (0.000, 0.000, 0.000)
Au (0.500, 0.500, 0.500)

=====

Least stable = arrangement Q